# PdWC3, relaxed, DFT PBE
data_PdWC3
_chemical_formula_sum 'Pd1 W1 C3'
_cell_length_a 3.9172
_cell_length_b 3.9172
_cell_length_c 3.9172
_cell_angle_alpha 90.00
_cell_angle_beta 90.00
_cell_angle_gamma 90.00
_symmetry_space_group_name_H-M 'P m -3 m'
_symmetry_Int_Tables_number 221
_symmetry_space_group_name_Hall '-P 4 2 3'
loop_
_atom_site_label
_atom_site_fract_x
_atom_site_fract_y
_atom_site_fract_z
Pd1 0.0000 0.0000 0.0000
W1 0.5000 0.5000 0.5000
C1 0.0000 0.0000 0.5000
# Formation enthalpy at 0 K ... 2.94 eV per atom
# ΔE to the lowest computed polymorph ... 5.06 eV/f.u.
# Mass density ... 9014 kg/m³
# DFT total energy ... -31.1 eV per cell
# V ... 60.1 Å³ per cell
# Total magnetization ... 0.00 μB/f.u.

# YPd2C, relaxed, DFT PBE
data_YPd2C
_chemical_formula_sum 'Y4 Pd8 C4'
_cell_length_a 4.9582
_cell_length_b 4.9582
_cell_length_c 12.6221
_cell_angle_alpha 90.00
_cell_angle_beta 90.00
_cell_angle_gamma 90.00
_symmetry_space_group_name_H-M 'I -4 2 d'
_symmetry_Int_Tables_number 122
_symmetry_space_group_name_Hall 'I -4 2bw'
loop_
_atom_site_label
_atom_site_fract_x
_atom_site_fract_y
_atom_site_fract_z
Y1 0.0000 0.0000 0.0000
Pd1 0.0944 0.2500 0.6250
C1 0.0000 0.0000 0.5000
# Formation enthalpy at 0 K ... 0.18 eV per atom
# ΔE to the lowest computed polymorph ... 0.00 eV/f.u.
# Mass density ... 6716 kg/m³
# DFT total energy ... -101.4 eV per cell
# V ... 310.3 Å³ per cell
# Total magnetization ... 0.00 μB/f.u.

# Y3PdC, relaxed, DFT PBE
data_Y3PdC
_chemical_formula_sum 'Y3 Pd1 C1'
_cell_length_a 4.8511
_cell_length_b 4.8511
_cell_length_c 4.8511
_cell_angle_alpha 90.00
_cell_angle_beta 90.00
_cell_angle_gamma 90.00
_symmetry_space_group_name_H-M 'P m -3 m'
_symmetry_Int_Tables_number 221
_symmetry_space_group_name_Hall '-P 4 2 3'
loop_
_atom_site_label
_atom_site_fract_x
_atom_site_fract_y
_atom_site_fract_z
Y1 0.0000 0.0000 0.5000
Pd1 0.5000 0.5000 0.5000
C1 0.0000 0.0000 0.0000
# Formation enthalpy at 0 K ... -0.36 eV per atom
# ΔE to the lowest computed polymorph ... 0.00 eV/f.u.
# Mass density ... 5602 kg/m³
# DFT total energy ... -35.6 eV per cell
# V ... 114.2 Å³ per cell
# Total magnetization ... 0.00 μB/f.u.

# Y6Pd2C, relaxed, DFT PBE
data_Y6Pd2C
_chemical_formula_sum 'Y12 Pd4 C2'
_cell_length_a 6.6196
_cell_length_b 7.0893
_cell_length_c 11.5910
_cell_angle_alpha 90.00
_cell_angle_beta 123.83
_cell_angle_gamma 90.00
_symmetry_space_group_name_H-M 'P 1 21/c 1'
_symmetry_Int_Tables_number 14
_symmetry_space_group_name_Hall '-P 2ybc'
loop_
_atom_site_label
_atom_site_fract_x
_atom_site_fract_y
_atom_site_fract_z
Y1 0.1316 0.0310 0.2421
Y2 0.2348 0.7014 0.0560
Y3 0.3598 0.1818 0.0549
Pd1 0.2864 0.0839 0.7515
C1 0.0000 0.0000 0.0000
# Formation enthalpy at 0 K ... -0.51 eV per atom
# Mass density ... 5573 kg/m³
# DFT total energy ... -125.9 eV per cell
# V ... 451.9 Å³ per cell
# Total magnetization ... 0.00 μB/f.u.

# YPdC3, relaxed, DFT PBE
data_YPdC3
_chemical_formula_sum 'Y1 Pd1 C3'
_cell_length_a 4.4299
_cell_length_b 4.4299
_cell_length_c 4.4299
_cell_angle_alpha 90.00
_cell_angle_beta 90.00
_cell_angle_gamma 90.00
_symmetry_space_group_name_H-M 'P m -3 m'
_symmetry_Int_Tables_number 221
_symmetry_space_group_name_Hall '-P 4 2 3'
loop_
_atom_site_label
_atom_site_fract_x
_atom_site_fract_y
_atom_site_fract_z
Y1 0.0000 0.0000 0.0000
Pd1 0.5000 0.5000 0.5000
C1 0.0000 0.0000 0.5000
# Formation enthalpy at 0 K ... 2.86 eV per atom
# ΔE to the lowest computed polymorph ... 5.69 eV/f.u.
# Mass density ... 4419 kg/m³
# DFT total energy ... -25.0 eV per cell
# V ... 86.9 Å³ per cell
# Total magnetization ... 0.00 μB/f.u.

# YPd2C2, relaxed, DFT PBE
data_YPd2C2
_chemical_formula_sum 'Y2 Pd4 C4'
_cell_length_a 4.0121
_cell_length_b 4.0121
_cell_length_c 8.4832
_cell_angle_alpha 90.00
_cell_angle_beta 90.00
_cell_angle_gamma 90.00
_symmetry_space_group_name_H-M 'I 4/m m m'
_symmetry_Int_Tables_number 139
_symmetry_space_group_name_Hall '-I 4 2'
loop_
_atom_site_label
_atom_site_fract_x
_atom_site_fract_y
_atom_site_fract_z
Y1 0.0000 0.0000 0.0000
Pd1 0.0000 0.0000 0.3370
C1 0.0000 0.5000 0.2500
# Formation enthalpy at 0 K ... 0.38 eV per atom
# ΔE to the lowest computed polymorph ... 0.00 eV/f.u.
# Mass density ... 7923 kg/m³
# DFT total energy ... -66.8 eV per cell
# V ... 136.6 Å³ per cell
# Total magnetization ... 0.00 μB/f.u.

# YPdC3, relaxed, DFT PBE
data_YPdC3
_chemical_formula_sum 'Y1 Pd1 C3'
_cell_length_a 4.0760
_cell_length_b 4.0760
_cell_length_c 4.0760
_cell_angle_alpha 90.00
_cell_angle_beta 90.00
_cell_angle_gamma 90.00
_symmetry_space_group_name_H-M 'P m -3 m'
_symmetry_Int_Tables_number 221
_symmetry_space_group_name_Hall '-P 4 2 3'
loop_
_atom_site_label
_atom_site_fract_x
_atom_site_fract_y
_atom_site_fract_z
Y1 0.0000 0.0000 0.0000
Pd1 0.5000 0.5000 0.5000
C1 0.0000 0.5000 0.5000
# Formation enthalpy at 0 K ... 1.72 eV per atom
# ΔE to the lowest computed polymorph ... 0.00 eV/f.u.
# Mass density ... 5673 kg/m³
# DFT total energy ... -30.7 eV per cell
# V ... 67.7 Å³ per cell
# Total magnetization ... 0.00 μB/f.u.

# YPd2C, relaxed, DFT PBE
data_YPd2C
_chemical_formula_sum 'Y4 Pd8 C4'
_cell_length_a 6.3671
_cell_length_b 6.3671
_cell_length_c 6.3671
_cell_angle_alpha 90.00
_cell_angle_beta 90.00
_cell_angle_gamma 90.00
_symmetry_space_group_name_H-M 'F m -3 m'
_symmetry_Int_Tables_number 225
_symmetry_space_group_name_Hall '-F 4 2 3'
loop_
_atom_site_label
_atom_site_fract_x
_atom_site_fract_y
_atom_site_fract_z
Y1 0.0000 0.0000 0.0000
Pd1 0.2500 0.2500 0.2500
C1 0.0000 0.0000 0.5000
# Formation enthalpy at 0 K ... 0.61 eV per atom
# ΔE to the lowest computed polymorph ... 1.71 eV/f.u.
# Mass density ... 8074 kg/m³
# DFT total energy ... -94.6 eV per cell
# V ... 258.1 Å³ per cell
# Total magnetization ... 0.00 μB/f.u.

# YPd2C2, relaxed, DFT PBE
data_YPd2C2
_chemical_formula_sum 'Y2 Pd4 C4'
_cell_length_a 7.1768
_cell_length_b 7.1768
_cell_length_c 3.1486
_cell_angle_alpha 90.00
_cell_angle_beta 90.00
_cell_angle_gamma 90.00
_symmetry_space_group_name_H-M 'P 4/m b m'
_symmetry_Int_Tables_number 127
_symmetry_space_group_name_Hall '-P 4 2ab'
loop_
_atom_site_label
_atom_site_fract_x
_atom_site_fract_y
_atom_site_fract_z
Y1 0.0000 0.0000 0.0000
Pd1 0.1263 0.3737 0.0000
C1 0.2469 0.2531 0.5000
# Formation enthalpy at 0 K ... 1.05 eV per atom
# ΔE to the lowest computed polymorph ... 3.33 eV/f.u.
# Mass density ... 6671 kg/m³
# DFT total energy ... -60.1 eV per cell
# V ... 162.2 Å³ per cell
# Total magnetization ... 0.00 μB/f.u.

# ZnPdC2, relaxed, DFT PBE
data_ZnPdC2
_chemical_formula_sum 'Zn4 Pd4 C8'
_cell_length_a 4.6849
_cell_length_b 4.6849
_cell_length_c 9.5326
_cell_angle_alpha 90.00
_cell_angle_beta 90.00
_cell_angle_gamma 90.00
_symmetry_space_group_name_H-M 'I -4 2 d'
_symmetry_Int_Tables_number 122
_symmetry_space_group_name_Hall 'I -4 2bw'
loop_
_atom_site_label
_atom_site_fract_x
_atom_site_fract_y
_atom_site_fract_z
Zn1 0.0000 0.0000 0.0000
Pd1 0.0000 0.0000 0.5000
C1 0.2350 0.2500 0.6250
# Formation enthalpy at 0 K ... 1.40 eV per atom
# Mass density ... 6218 kg/m³
# DFT total energy ... -77.2 eV per cell
# V ... 209.2 Å³ per cell
# Total magnetization ... 0.00 μB/f.u.

# ZnPdC3, relaxed, DFT PBE
data_ZnPdC3
_chemical_formula_sum 'Zn1 Pd1 C3'
_cell_length_a 3.9186
_cell_length_b 3.9186
_cell_length_c 3.9186
_cell_angle_alpha 90.00
_cell_angle_beta 90.00
_cell_angle_gamma 90.00
_symmetry_space_group_name_H-M 'P m -3 m'
_symmetry_Int_Tables_number 221
_symmetry_space_group_name_Hall '-P 4 2 3'
loop_
_atom_site_label
_atom_site_fract_x
_atom_site_fract_y
_atom_site_fract_z
Zn1 0.0000 0.0000 0.0000
Pd1 0.5000 0.5000 0.5000
C1 0.0000 0.0000 0.5000
# Formation enthalpy at 0 K ... 2.82 eV per atom
# ΔE to the lowest computed polymorph ... 0.84 eV/f.u.
# Mass density ... 5736 kg/m³
# DFT total energy ... -20.0 eV per cell
# V ... 60.2 Å³ per cell
# Total magnetization ... 0.00 μB/f.u.

# ZnPd2C, relaxed, DFT PBE
data_ZnPd2C
_chemical_formula_sum 'Zn4 Pd8 C4'
_cell_length_a 5.5662
_cell_length_b 5.5662
_cell_length_c 8.7025
_cell_angle_alpha 90.00
_cell_angle_beta 90.00
_cell_angle_gamma 90.00
_symmetry_space_group_name_H-M 'I -4 2 d'
_symmetry_Int_Tables_number 122
_symmetry_space_group_name_Hall 'I -4 2bw'
loop_
_atom_site_label
_atom_site_fract_x
_atom_site_fract_y
_atom_site_fract_z
Zn1 0.0000 0.0000 0.0000
Pd1 0.1585 0.2500 0.6250
C1 0.0000 0.0000 0.5000
# Formation enthalpy at 0 K ... 0.56 eV per atom
# ΔE to the lowest computed polymorph ... 0.00 eV/f.u.
# Mass density ... 7151 kg/m³
# DFT total energy ... -74.5 eV per cell
# V ... 269.6 Å³ per cell
# Total magnetization ... 0.00 μB/f.u.